Density functional theory data (PBE) for a relaxed structure of Ac2Pr7Ho2.

Unit cell a=6.3922 b=8.3458 c=8.3458 alpha=91.82 beta=74.06 gamma=74.06
Closest atoms and distances in Å follow each position.
Element x y z (fractional)
Ac  0.8129  0.4035  0.4035  7 Pr 3.67-4.00, 2 Ac 3.73-3.87, 2 Ho 3.90
Ac  0.1871  0.5965  0.5965  7 Pr 3.67-4.00, 2 Ac 3.73-3.87, 2 Ho 3.90
Pr  0.1841  0.0668  0.5805  2 Ho 3.41-3.53, 5 Pr 3.42-3.72, 1 Ac 3.77
Pr  0.8159  0.4195  0.9332  2 Ho 3.41-3.53, 5 Pr 3.42-3.72, 1 Ac 3.77
Pr  0.8159  0.9332  0.4195  2 Ho 3.41-3.53, 5 Pr 3.42-3.72, 1 Ac 3.77
Pr  0.1841  0.5805  0.0668  2 Ho 3.41-3.53, 5 Pr 3.42-3.72, 1 Ac 3.77
Pr  0.0000  0.0000  0.0000  6 Pr 3.49-3.53
Pr  0.5689  0.7778  0.7778  5 Pr 3.45-3.71, 2 Ho 3.54, 2 Ac 3.67-3.80
Pr  0.4311  0.2222  0.2222  5 Pr 3.45-3.71, 2 Ho 3.54, 2 Ac 3.67-3.80
Ho  0.5000  0.2142  0.7858  6 Pr 3.41-3.54
Ho  0.5000  0.7858  0.2142  6 Pr 3.41-3.54

crystal system = monoclinic
final energy = -4.4963 eV/atom
calculated volume = 408.9 Å³/f.u.
ΔE_f = 0.12 eV per atom



Density functional theory data (PBE) for a relaxed structure of Ac2Pr12Ho5.

Unit cell a=11.8361 b=8.9358 c=9.6666 alpha=70.12 beta=90.00 gamma=131.47
Closest atoms and distances in Å follow each position.
Element x y z (fractional)
Ac  0.7333  0.0000  0.0000  10 Pr 3.69-3.91, 2 Ho 3.79
Ac  0.2667  0.0000  0.0000  10 Pr 3.69-3.91, 2 Ho 3.79
Pr  0.1257  0.2515  0.0581  3 Pr 3.45-3.66, 4 Ho 3.47-3.84, 2 Ac 3.74
Pr  0.0531  0.6218  0.7992  5 Pr 3.31-3.62, 1 Ho 3.38
Pr  0.5686  0.6218  0.7992  5 Pr 3.31-3.62, 1 Ho 3.38
Pr  0.1733  0.7793  0.4252  4 Pr 3.31-3.62, 2 Ho 3.56-3.68, 1 Ac 3.69
Pr  0.6060  0.7793  0.4252  4 Pr 3.31-3.62, 2 Ho 3.56-3.68, 1 Ac 3.69
Pr  0.4231  0.8462  0.7779  5 Pr 3.37-3.66, 2 Ho 3.55-3.73
Pr  0.5769  0.1538  0.2221  5 Pr 3.37-3.66, 2 Ho 3.55-3.73
Pr  0.8267  0.2207  0.5748  4 Pr 3.31-3.62, 2 Ho 3.56-3.68, 1 Ac 3.69
Pr  0.3940  0.2207  0.5748  4 Pr 3.31-3.62, 2 Ho 3.56-3.68, 1 Ac 3.69
Pr  0.9469  0.3782  0.2008  5 Pr 3.31-3.62, 1 Ho 3.38
Pr  0.4314  0.3782  0.2008  5 Pr 3.31-3.62, 1 Ho 3.38
Pr  0.8743  0.7485  0.9419  3 Pr 3.45-3.66, 4 Ho 3.47-3.84, 2 Ac 3.74
Ho  0.1899  0.3798  0.6680  7 Pr 3.47-3.84, 2 Ho 3.59-3.67
Ho  0.3054  0.6109  0.2437  6 Pr 3.38-3.60, 2 Ho 3.67-3.70
Ho  0.0000  0.0000  0.5000  4 Ho 3.59-3.70, 6 Pr 3.82-3.87
Ho  0.6946  0.3891  0.7563  6 Pr 3.38-3.60, 2 Ho 3.67-3.70
Ho  0.8101  0.6202  0.3320  7 Pr 3.47-3.84, 2 Ho 3.59-3.67

crystal system = monoclinic
final energy = -4.5436 eV/atom
calculated volume = 682.6 Å³/f.u.
ΔE_f = 0.11 eV per atom



Density functional theory data (PBE) for a relaxed structure of AcPr4Ho10.

Unit cell a=6.6171 b=9.7234 c=9.7234 alpha=83.35 beta=70.11 gamma=70.11
Closest atoms and distances in Å follow each position.
Element x y z (fractional)
Ac  0.0000  0.0000  0.0000  8 Pr 4.11, 8 Ho 4.49
Pr  0.4320  0.8917  0.2442  6 Ho 3.42-3.48, 2 Pr 3.45
Pr  0.6763  0.7558  0.8917  6 Ho 3.42-3.48, 2 Pr 3.45
Pr  0.3237  0.2442  0.1083  6 Ho 3.42-3.48, 2 Pr 3.45
Pr  0.5680  0.1083  0.7558  6 Ho 3.42-3.48, 2 Pr 3.45
Ho  0.2500  0.5000  0.5000  6 Ho 3.14-3.31
Ho  0.6184  0.4262  0.8355  4 Ho 3.14-3.32, 3 Pr 3.42-3.48
Ho  0.9554  0.1645  0.4262  4 Ho 3.14-3.32, 3 Pr 3.42-3.48
Ho  0.5461  0.8355  0.5738  4 Ho 3.14-3.32, 3 Pr 3.42-3.48
Ho  0.8801  0.5738  0.1645  4 Ho 3.14-3.32, 3 Pr 3.42-3.48
Ho  0.3816  0.5738  0.1645  4 Ho 3.14-3.32, 3 Pr 3.42-3.48
Ho  0.7500  0.5000  0.5000  6 Ho 3.14-3.31
Ho  0.1199  0.4262  0.8355  4 Ho 3.14-3.32, 3 Pr 3.42-3.48
Ho  0.4539  0.1645  0.4262  4 Ho 3.14-3.32, 3 Pr 3.42-3.48
Ho  0.0446  0.8355  0.5738  4 Ho 3.14-3.32, 3 Pr 3.42-3.48

crystal system = tetragonal
final energy = -4.0755 eV/atom
calculated volume = 553.2 Å³/f.u.
ΔE_f = 0.52 eV per atom



Density functional theory data (PBE) for a relaxed structure of Ac15Pr4Ho.

Unit cell a=5.5430 b=5.5430 c=27.6207 alpha=90.00 beta=90.00 gamma=90.00
Closest atoms and distances in Å follow each position.
Element x y z (fractional)
Ac  0.5000  0.5000  0.0000  8 Ac 3.88, 4 Ho 3.92
Ac  0.5000  0.5000  0.1987  4 Pr 3.92, 8 Ac 3.92
Ac  0.5000  0.5000  0.3996  4 Pr 3.92, 8 Ac 3.92
Ac  0.5000  0.5000  0.6004  4 Pr 3.92, 8 Ac 3.92
Ac  0.5000  0.5000  0.8013  4 Pr 3.92, 8 Ac 3.92
Ac  0.5000  0.0000  0.0983  8 Ac 3.88-3.92, 2 Ho 3.88, 2 Pr 3.92
Ac  0.5000  0.0000  0.2990  8 Ac 3.92, 4 Pr 3.92
Ac  0.5000  0.0000  0.5000  8 Ac 3.92, 4 Pr 3.92
Ac  0.5000  0.0000  0.7010  8 Ac 3.92, 4 Pr 3.92
Ac  0.5000  0.0000  0.9017  2 Ho 3.88, 8 Ac 3.88-3.92, 2 Pr 3.92
Ac  0.0000  0.5000  0.0983  2 Ho 3.88, 8 Ac 3.88-3.92, 2 Pr 3.92
Ac  0.0000  0.5000  0.2990  8 Ac 3.92, 4 Pr 3.92
Ac  0.0000  0.5000  0.5000  8 Ac 3.92, 4 Pr 3.92
Ac  0.0000  0.5000  0.7010  8 Ac 3.92, 4 Pr 3.92
Ac  0.0000  0.5000  0.9017  8 Ac 3.88-3.92, 2 Ho 3.88, 2 Pr 3.92
Pr  0.0000  0.0000  0.1986  12 Ac 3.92
Pr  0.0000  0.0000  0.3996  12 Ac 3.92
Pr  0.0000  0.0000  0.6004  12 Ac 3.92
Pr  0.0000  0.0000  0.8014  12 Ac 3.92
Ho  0.0000  0.0000  0.0000  12 Ac 3.88-3.92

crystal system = tetragonal
final energy = -4.2410 eV/atom
calculated volume = 848.6 Å³/f.u.
ΔE_f = 0.03 eV per atom



Density functional theory data (PBE) for a relaxed structure of Ac8Pr2Ho.

Unit cell a=5.5605 b=8.7153 c=10.2779 alpha=104.78 beta=105.73 gamma=90.01
Closest atoms and distances in Å follow each position.
Element x y z (fractional)
Ac  0.6809  0.9136  0.3619  1 Ho 3.85, 3 Pr 3.88-3.95, 8 Ac 3.89-3.95
Ac  0.4076  0.5498  0.8152  3 Pr 3.85-3.88, 8 Ac 3.86-3.98, 1 Ho 3.86
Ac  0.1372  0.1856  0.2741  3 Pr 3.84-3.91, 7 Ac 3.86-3.92, 2 Ho 3.92
Ac  0.9534  0.2701  0.9070  1 Pr 3.86, 9 Ac 3.89-3.96, 2 Ho 3.91
Ac  0.8628  0.8144  0.7259  3 Pr 3.84-3.91, 7 Ac 3.86-3.92, 2 Ho 3.92
Ac  0.5924  0.4502  0.1848  3 Pr 3.85-3.88, 8 Ac 3.86-3.98, 1 Ho 3.86
Ac  0.3191  0.0864  0.6381  1 Ho 3.85, 3 Pr 3.88-3.95, 8 Ac 3.89-3.95
Ac  0.0466  0.7299  0.0930  1 Pr 3.86, 9 Ac 3.89-3.96, 2 Ho 3.91
Pr  0.2260  0.6338  0.4524  10 Ac 3.84-3.95, 2 Pr 3.90
Pr  0.7740  0.3662  0.5476  10 Ac 3.84-3.95, 2 Pr 3.90
Ho  0.5000  0.0000  0.0000  12 Ac 3.85-3.92

crystal system = monoclinic
final energy = -4.2385 eV/atom
calculated volume = 462.3 Å³/f.u.
ΔE_f = 0.03 eV per atom



Density functional theory data (PBE) for a relaxed structure of Ac2Pr3Ho4.

Unit cell a=5.2495 b=9.7593 c=8.1968 alpha=125.96 beta=90.00 gamma=105.60
Closest atoms and distances in Å follow each position.
Element x y z (fractional)
Ac  0.6637  0.3273  0.3258  5 Ho 3.67-3.79, 5 Pr 3.67-3.76, 2 Ac 3.78
Ac  0.3363  0.6727  0.6742  5 Ho 3.67-3.79, 5 Pr 3.67-3.76, 2 Ac 3.78
Pr  0.8898  0.7795  0.4380  7 Ho 3.55-3.73, 2 Pr 3.62-3.73, 3 Ac 3.74-3.76
Pr  0.1102  0.2205  0.5620  7 Ho 3.55-3.73, 2 Pr 3.62-3.73, 3 Ac 3.74-3.76
Pr  0.0000  0.0000  0.0000  4 Ac 3.67, 2 Pr 3.73, 6 Ho 3.73-3.74
Ho  0.7776  0.5552  0.8984  4 Pr 3.55-3.73, 5 Ho 3.58-3.68, 3 Ac 3.74-3.79
Ho  0.2224  0.4448  0.1016  4 Pr 3.55-3.73, 5 Ho 3.58-3.68, 3 Ac 3.74-3.79
Ho  0.4416  0.8831  0.2261  4 Ho 3.59-3.68, 6 Pr 3.59-3.74, 2 Ac 3.67-3.73
Ho  0.5584  0.1169  0.7739  4 Ho 3.59-3.68, 6 Pr 3.59-3.74, 2 Ac 3.67-3.73

crystal system = monoclinic
final energy = -4.4980 eV/atom
calculated volume = 320.6 Å³/f.u.
ΔE_f = 0.04 eV per atom



Question: What is the formula in the first record?
Answer: Ac2Pr7Ho2



Question: Which of these has the highest calculated volume?
Answer: Ac15Pr4Ho



Question: Which of these has the highest calculated volume?
Answer: Ac15Pr4Ho



Copy entry 4 word for word.
Density functional theory data (PBE) for a relaxed structure of Ac15Pr4Ho.

Unit cell a=5.5430 b=5.5430 c=27.6207 alpha=90.00 beta=90.00 gamma=90.00
Closest atoms and distances in Å follow each position.
Element x y z (fractional)
Ac  0.5000  0.5000  0.0000  8 Ac 3.88, 4 Ho 3.92
Ac  0.5000  0.5000  0.1987  4 Pr 3.92, 8 Ac 3.92
Ac  0.5000  0.5000  0.3996  4 Pr 3.92, 8 Ac 3.92
Ac  0.5000  0.5000  0.6004  4 Pr 3.92, 8 Ac 3.92
Ac  0.5000  0.5000  0.8013  4 Pr 3.92, 8 Ac 3.92
Ac  0.5000  0.0000  0.0983  8 Ac 3.88-3.92, 2 Ho 3.88, 2 Pr 3.92
Ac  0.5000  0.0000  0.2990  8 Ac 3.92, 4 Pr 3.92
Ac  0.5000  0.0000  0.5000  8 Ac 3.92, 4 Pr 3.92
Ac  0.5000  0.0000  0.7010  8 Ac 3.92, 4 Pr 3.92
Ac  0.5000  0.0000  0.9017  2 Ho 3.88, 8 Ac 3.88-3.92, 2 Pr 3.92
Ac  0.0000  0.5000  0.0983  2 Ho 3.88, 8 Ac 3.88-3.92, 2 Pr 3.92
Ac  0.0000  0.5000  0.2990  8 Ac 3.92, 4 Pr 3.92
Ac  0.0000  0.5000  0.5000  8 Ac 3.92, 4 Pr 3.92
Ac  0.0000  0.5000  0.7010  8 Ac 3.92, 4 Pr 3.92
Ac  0.0000  0.5000  0.9017  8 Ac 3.88-3.92, 2 Ho 3.88, 2 Pr 3.92
Pr  0.0000  0.0000  0.1986  12 Ac 3.92
Pr  0.0000  0.0000  0.3996  12 Ac 3.92
Pr  0.0000  0.0000  0.6004  12 Ac 3.92
Pr  0.0000  0.0000  0.8014  12 Ac 3.92
Ho  0.0000  0.0000  0.0000  12 Ac 3.88-3.92

crystal system = tetragonal
final energy = -4.2410 eV/atom
calculated volume = 848.6 Å³/f.u.
ΔE_f = 0.03 eV per atom